{
  "formula": "KNa2NiO2",
  "functional": "GGA+U",
  "state": "relaxed",
  "spacegroup": "No. 64",
  "total_energy_ev_per_atom": -3.758,
  "crystal_system": "orthorhombic",
  "lattice_angstrom": [[-1.750, 5.081, 3.033], [-3.690, -2.293, -4.382], [-5.707, -7.032, 8.486]],
  "species": ["K", "K", "K", "K", "Na", "Na", "Na", "Na", "Na", "Na", "Na", "Na", "Ni", "Ni", "Ni", "Ni", "O", "O", "O", "O", "O", "O", "O", "O"],
  "frac_coords": [[0.183, 0.817, 0.130], [0.317, 0.683, 0.630], [0.683, 0.317, 0.370], [0.817, 0.183, 0.870], [0.773, 0.773, 0.500], [0.727, 0.727, 0.000], [0.273, 0.273, 0.000], [0.227, 0.227, 0.500], [0.719, 0.781, 0.250], [0.281, 0.219, 0.750], [0.219, 0.281, 0.250], [0.781, 0.719, 0.750], [0.750, 0.250, 0.124], [0.250, 0.750, 0.876], [0.250, 0.750, 0.376], [0.750, 0.250, 0.624], [0.081, 0.919, 0.362], [0.581, 0.419, 0.138], [0.419, 0.581, 0.862], [0.919, 0.081, 0.638], [0.418, 0.582, 0.387], [0.582, 0.418, 0.613], [0.082, 0.918, 0.887], [0.918, 0.082, 0.113]]
}